SrInSn3 | PBE | relaxed Values from VASP.

Summary:
* distance to the lowest polymorph of the same formula: 0 meV/atom
* Fermi-level density of states: 10.49 states/eV/cell
* total DFT energy (no corrections): -3.540 eV/atom
* formation energy from the elements: -0.2542 eV per atom

Quantum ESPRESSO input file:
```
&SYSTEM
  ibrav = 0, nat = 20, ntyp = 3
/
ATOMIC_SPECIES
Sr 87.62 Sr.upf
In 114.82 In.upf
Sn 118.71 Sn.upf
ATOMIC_POSITIONS crystal
Sr 0.0000 0.0000 0.0000
Sr 0.0000 0.5000 0.0000
Sr 0.5000 0.0000 0.5000
Sr 0.5000 0.5000 0.5000
In 0.1512 0.2500 0.1570
In 0.3488 0.7500 0.6570
In 0.6512 0.2500 0.3430
In 0.8488 0.7500 0.8430
Sn 0.0028 0.6094 0.5083
Sn 0.0028 0.8906 0.5083
Sn 0.1757 0.7500 0.1715
Sn 0.3243 0.2500 0.6715
Sn 0.4972 0.1094 0.0083
Sn 0.4972 0.3906 0.0083
Sn 0.5028 0.6094 0.9917
Sn 0.5028 0.8906 0.9917
Sn 0.6757 0.7500 0.3285
Sn 0.8243 0.2500 0.8285
Sn 0.9972 0.1094 0.4917
Sn 0.9972 0.3906 0.4917
CELL_PARAMETERS angstrom
6.6829 0.0000 0.0000
0.0000 13.5786 0.0000
0.0000 0.0000 6.7884
```